Entry from the Alexandria database: Fe2OsO6 after structural relaxation (PBE with a Hubbard U).

As for the final energy: -121.8 eV for the cell shown. The calculation puts the density of states at the Fermi level at 5.40 states/eV per cell.

The structure belongs to space group Immm (No. 71); the cell edges are 3.458, 4.923 and 10.343 Å and the angles 90.00°, 90.00° and 90.00°. The inequivalent atoms are Fe at (0.000, 0.000, 0.171), Os at (0.000, 0.000, 0.500), O at (0.000, 0.245, 0.341) and O at (0.000, 0.266, 0.000).